Entry 1:
YMo3N: optimized geometry, PBE-GGA.

a b c (Å): 4.2869 4.2869 4.2869
angles (deg): 90.00 90.00 90.00
Last column: nearest neighbours and their distance in Å.
Sites, in units of the cell vectors:
Y (0.5000, 0.5000, 0.5000)  12 Mo 3.03
Mo (0.0000, 0.5000, 0.0000)  2 N 2.14
Mo (0.5000, 0.0000, 0.0000)  2 N 2.14
Mo (0.0000, 0.0000, 0.5000)  2 N 2.14
N (0.0000, 0.0000, 0.0000)  6 Mo 2.14

Output
Final energy, eV per atom: -9.436
Space-group type: No. 221
Size of the total moment, μB/f.u.: 0.00

***

Entry 2:
ThAlCo4: optimized geometry, PBE-GGA.

a b c (Å): 4.9695 4.9695 4.9695
angles (deg): 60.00 60.00 60.00
Last column: nearest neighbours and their distance in Å.
Sites, in units of the cell vectors:
Co (0.6269, 0.6269, 0.1193)  6 Co 2.45-2.52
Co (0.6269, 0.1193, 0.6269)  6 Co 2.45-2.52
Co (0.6269, 0.6269, 0.6269)  6 Co 2.45-2.52
Co (0.1193, 0.6269, 0.6269)  6 Co 2.45-2.52
Al (0.0000, 0.0000, 0.0000)  12 Co 2.91, 4 Th 3.04
Th (0.2500, 0.2500, 0.2500)  12 Co 2.92, 4 Al 3.04

Output
Final energy, eV per atom: -6.783
Space-group type: No. 216
Size of the total moment, μB/f.u.: 3.03

***

Entry 3:
KSrNd2Se4: optimized geometry, PBE-GGA.

a b c (Å): 4.3100 7.7503 7.4829
angles (deg): 71.43 90.00 90.00
Last column: nearest neighbours and their distance in Å.
Sites, in units of the cell vectors:
K (0.0000, 0.5000, 0.5000)  6 Se 3.19-3.22
Sr (0.5000, 0.5000, 0.0000)  6 Se 3.15-3.17
Nd (0.0000, 0.0000, 0.0000)  6 Se 2.98-3.00
Nd (0.5000, 0.0000, 0.5000)  6 Se 3.02-3.04
Se (0.0000, 0.7657, 0.7490)  3 Nd 3.00-3.04, 2 Sr 3.15, 1 K 3.19
Se (0.0000, 0.2343, 0.2510)  3 Nd 3.00-3.04, 2 Sr 3.15, 1 K 3.19
Se (0.5000, 0.7736, 0.2372)  3 Nd 2.98-3.02, 1 Sr 3.17, 2 K 3.22
Se (0.5000, 0.2264, 0.7628)  3 Nd 2.98-3.02, 1 Sr 3.17, 2 K 3.22

Output
Final energy, eV per atom: -5.108
Space-group type: No. 10
Size of the total moment, μB/f.u.: 0.00

***

Entry 4:
Ca2PuH6: optimized geometry, PBE-GGA.

a b c (Å): 5.5937 5.5937 5.5937
angles (deg): 60.00 60.00 60.00
Last column: nearest neighbours and their distance in Å.
Sites, in units of the cell vectors:
H (0.2723, 0.7277, 0.2723)  1 Pu 2.15
H (0.7277, 0.2723, 0.2723)  1 Pu 2.15
H (0.2723, 0.7277, 0.7277)  1 Pu 2.15
H (0.7277, 0.2723, 0.7277)  1 Pu 2.15
H (0.7277, 0.7277, 0.2723)  1 Pu 2.15
H (0.2723, 0.2723, 0.7277)  1 Pu 2.15
Ca (0.7500, 0.7500, 0.7500)  12 H 2.80
Ca (0.2500, 0.2500, 0.2500)  12 H 2.80
Pu (0.0000, 0.0000, 0.0000)  6 H 2.15

Output
Final energy, eV per atom: -4.226
Space-group type: No. 225
Size of the total moment, μB/f.u.: 5.79

***

Entry 5:
TaSiSb2: optimized geometry, PBE-GGA.

a b c (Å): 3.1488 3.1488 9.2497
angles (deg): 90.00 90.00 107.46
Last column: nearest neighbours and their distance in Å.
Sites, in units of the cell vectors:
Sb (0.0000, 0.0000, 0.9861)  2 Ta 2.87, 2 Si 3.07, 4 Sb 3.15
Sb (0.0000, 0.0000, 0.5139)  2 Ta 2.87, 2 Si 3.07, 4 Sb 3.15
Si (0.5000, 0.5000, 0.2500)  4 Sb 3.07, 4 Si 3.15
Ta (0.5000, 0.5000, 0.7500)  4 Sb 2.87, 4 Ta 3.15

Output
Final energy, eV per atom: -5.874
Space-group type: No. 65
Size of the total moment, μB/f.u.: 0.00

***

Entry 6:
Pr7Y4Tm: optimized geometry, PBE-GGA.

a b c (Å): 6.0599 9.8873 8.7275
angles (deg): 60.82 69.69 72.15
Last column: nearest neighbours and their distance in Å.
Sites, in units of the cell vectors:
Pr (0.7913, 0.8805, 0.5369)  5 Pr 3.31-3.67
Pr (0.2087, 0.1195, 0.4631)  5 Pr 3.31-3.67
Pr (0.0833, 0.5571, 0.2762)  3 Pr 3.35-3.73, 3 Y 3.50-3.60
Pr (0.9167, 0.4429, 0.7238)  3 Pr 3.35-3.73, 3 Y 3.50-3.60
Pr (0.2083, 0.7708, 0.8125)  1 Tm 3.14, 2 Y 3.27-3.36, 2 Pr 3.31-3.45
Pr (0.5000, 0.0000, 0.0000)  2 Tm 3.03
Pr (0.7917, 0.2292, 0.1875)  1 Tm 3.14, 2 Y 3.27-3.36, 2 Pr 3.31-3.45
Y (0.5717, 0.3019, 0.5547)  4 Pr 3.36-3.71, 2 Y 3.44-3.70
Y (0.4283, 0.6981, 0.4453)  4 Pr 3.36-3.71, 2 Y 3.44-3.70
Y (0.6722, 0.6112, 0.0444)  7 Pr 3.27-3.60
Y (0.3278, 0.3888, 0.9556)  7 Pr 3.27-3.60
Tm (0.0000, 0.0000, 0.0000)  4 Pr 3.03-3.14

Output
Final energy, eV per atom: -5.104
Space-group type: No. 12
Size of the total moment, μB/f.u.: 0.00

***

Entry 7:
ZnCr2Rh: optimized geometry, PBE-GGA.

a b c (Å): 2.6380 2.6380 7.4750
angles (deg): 90.00 90.00 90.00
Last column: nearest neighbours and their distance in Å.
Sites, in units of the cell vectors:
Cr (0.0000, 0.0000, 0.0087)  8 Cr 2.63-2.64, 4 Zn 2.69
Cr (0.5000, 0.5000, 0.2568)  4 Rh 2.53, 8 Cr 2.63-2.64
Rh (0.0000, 0.0000, 0.4853)  4 Cr 2.53, 4 Rh 2.64, 4 Zn 2.71
Zn (0.5000, 0.5000, 0.7492)  4 Zn 2.64, 4 Cr 2.69, 4 Rh 2.71

Output
Final energy, eV per atom: -6.887
Space-group type: No. 99
Size of the total moment, μB/f.u.: 0.00

***

Entry 8:
CeTePd5: optimized geometry, PBE-GGA.

a b c (Å): 5.6083 8.8403 10.6277
angles (deg): 90.00 90.00 90.00
Last column: nearest neighbours and their distance in Å.
Sites, in units of the cell vectors:
Ce (0.2500, 0.2555, 0.9542)  7 Pd 2.88-3.22, 1 Te 3.20
Ce (0.7500, 0.2445, 0.4542)  7 Pd 2.88-3.22, 1 Te 3.20
Ce (0.2500, 0.7555, 0.5458)  7 Pd 2.88-3.22, 1 Te 3.20
Ce (0.7500, 0.7445, 0.0458)  7 Pd 2.88-3.22, 1 Te 3.20
Te (0.2500, 0.8305, 0.8404)  8 Pd 2.58-2.87
Te (0.7500, 0.6695, 0.3404)  8 Pd 2.58-2.87
Te (0.2500, 0.3305, 0.6596)  8 Pd 2.58-2.87
Te (0.7500, 0.1695, 0.1596)  8 Pd 2.58-2.87
Pd (0.2500, 0.5911, 0.0227)  6 Pd 2.76-2.96, 1 Te 2.87, 1 Ce 3.06
Pd (0.7500, 0.9089, 0.5227)  6 Pd 2.76-2.96, 1 Te 2.87, 1 Ce 3.06
Pd (0.2500, 0.0911, 0.4773)  6 Pd 2.76-2.96, 1 Te 2.87, 1 Ce 3.06
Pd (0.7500, 0.4089, 0.9773)  6 Pd 2.76-2.96, 1 Te 2.87, 1 Ce 3.06
Pd (0.7500, 0.3191, 0.7182)  6 Pd 2.70-2.87, 2 Te 2.87, 1 Ce 2.88
Pd (0.2500, 0.1809, 0.2182)  6 Pd 2.70-2.87, 2 Te 2.87, 1 Ce 2.88
Pd (0.7500, 0.8191, 0.7818)  6 Pd 2.70-2.87, 2 Te 2.87, 1 Ce 2.88
Pd (0.2500, 0.6809, 0.2818)  6 Pd 2.70-2.87, 2 Te 2.87, 1 Ce 2.88
Pd (0.2500, 0.9209, 0.0717)  1 Te 2.58, 3 Pd 2.78-2.79
Pd (0.7500, 0.5791, 0.5717)  1 Te 2.58, 3 Pd 2.78-2.79
Pd (0.2500, 0.4209, 0.4283)  1 Te 2.58, 3 Pd 2.78-2.79
Pd (0.7500, 0.0791, 0.9283)  1 Te 2.58, 3 Pd 2.78-2.79
Pd (0.9930, 0.4390, 0.2044)  7 Pd 2.70-2.88, 2 Te 2.79-2.85
Pd (0.0070, 0.0610, 0.7044)  7 Pd 2.70-2.88, 2 Te 2.79-2.85
Pd (0.5070, 0.9390, 0.2956)  7 Pd 2.70-2.88, 2 Te 2.79-2.85
Pd (0.4930, 0.5611, 0.7956)  7 Pd 2.70-2.88, 2 Te 2.79-2.85
Pd (0.0070, 0.5611, 0.7956)  7 Pd 2.70-2.88, 2 Te 2.79-2.85
Pd (0.9930, 0.9390, 0.2956)  7 Pd 2.70-2.88, 2 Te 2.79-2.85
Pd (0.4930, 0.0610, 0.7044)  7 Pd 2.70-2.88, 2 Te 2.79-2.85
Pd (0.5070, 0.4390, 0.2044)  7 Pd 2.70-2.88, 2 Te 2.79-2.85

Output
Final energy, eV per atom: -5.548
Space-group type: No. 62
Size of the total moment, μB/f.u.: 0.52

***

Entry 9:
TbEr5Sc4: optimized geometry, PBE-GGA.

a b c (Å): 6.1138 7.5523 7.5523
angles (deg): 80.57 66.12 66.12
Last column: nearest neighbours and their distance in Å.
Sites, in units of the cell vectors:
Tb (0.2231, 0.0000, 0.0000)  1 Er 2.79
Er (0.8038, 0.3903, 0.9026)  4 Sc 3.05-3.38, 1 Er 3.23, 1 Tb 3.24
Er (0.1942, 0.9026, 0.6097)  4 Sc 3.05-3.38, 1 Er 3.23, 1 Tb 3.24
Er (0.7064, 0.0974, 0.3903)  4 Sc 3.05-3.38, 1 Er 3.23, 1 Tb 3.24
Er (0.0968, 0.6097, 0.0974)  4 Sc 3.05-3.38, 1 Er 3.23, 1 Tb 3.24
Er (0.6798, 0.0000, 0.0000)  1 Tb 2.79
Sc (0.3957, 0.4132, 0.6985)  1 Sc 2.99, 2 Er 3.05-3.07
Sc (0.8089, 0.6985, 0.5868)  1 Sc 2.99, 2 Er 3.05-3.07
Sc (0.0942, 0.3015, 0.4132)  1 Sc 2.99, 2 Er 3.05-3.07
Sc (0.5074, 0.5868, 0.3015)  1 Sc 2.99, 2 Er 3.05-3.07

Output
Final energy, eV per atom: -4.939
Space-group type: No. 79
Size of the total moment, μB/f.u.: 0.02

***

Entry 10:
TiCdAg2: optimized geometry, PBE-GGA.

a b c (Å): 2.9498 2.9498 9.9328
angles (deg): 81.46 81.46 60.00
Last column: nearest neighbours and their distance in Å.
Sites, in units of the cell vectors:
Ti (0.0000, 0.0000, 0.0000)  6 Ag 2.90, 6 Ti 2.95
Ag (0.7468, 0.7468, 0.7597)  3 Ti 2.90, 6 Ag 2.95, 3 Cd 3.06
Ag (0.2532, 0.2532, 0.2403)  3 Ti 2.90, 6 Ag 2.95, 3 Cd 3.06
Cd (0.5000, 0.5000, 0.5000)  6 Cd 2.95, 6 Ag 3.06

Output
Final energy, eV per atom: -3.567
Space-group type: No. 166
Size of the total moment, μB/f.u.: 0.00